1.
{"formula": "Rb3Cd8In", "functional": "GGA-PBE", "state": "optimized geometry", "lattice_angstrom": [[-4.2124, 4.4565, 1.7386], [-6.1294, -0.5937, -1.6449], [-5.3481, -4.0197, 9.0296]], "species": ["Cd", "Rb", "Cd", "Cd", "In", "Cd", "Cd", "Cd", "Cd", "Cd", "Rb", "Rb"], "fractional_positions": [[0.4446, 0.9383, 0.6789], [0.5023, 0.5023, 0.4930], [0.9383, 0.9383, 0.6789], [0.4357, 0.9314, 0.1972], [0.8768, 0.8768, 0.3697], [0.6878, 0.6878, 0.9366], [0.4357, 0.4357, 0.1972], [0.9383, 0.4446, 0.6789], [0.1879, 0.1879, 0.4363], [0.9314, 0.4357, 0.1972], [0.3746, 0.3746, 0.8761], [0.9967, 0.9967, 0.0098]], "final_energy_ev_per_atom": -1.09, "formation_energy_mev_per_atom": -15, "total_magnetization_mub_per_fu": 0.00, "mass_density_g_cm3": 5.65}

2.
{"formula": "TmTcCl", "functional": "GGA-PBE", "state": "optimized geometry", "lattice_angstrom": [[4.4337, -0.0285, -0.6805], [2.2092, 2.2195, -0.5061], [-0.3078, -1.2941, 12.8618]], "species": ["Tm", "Cl", "Tc", "Cl", "Tc", "Tm"], "fractional_positions": [[0.6051, 0.8886, 0.1118], [0.6061, 0.2402, 0.4650], [0.6078, 0.4417, 0.6677], [0.1056, 0.7449, 0.9683], [0.1078, 0.5394, 0.7655], [0.1054, 0.0975, 0.3215]], "de_polymorph_mev_per_atom": 687, "raw_formation_energy_mev_per_atom": -360, "final_energy_ev_per_atom": -5.92, "total_magnetization_mub_per_fu": 0.00, "mass_density_g_cm3": 7.97}

3.
{"formula": "Ca2BeAsO6", "functional": "GGA-PBE", "state": "optimized geometry", "lattice_angstrom": [[5.2515, 0.0000, 0.0000], [2.6258, 4.5479, 0.0000], [2.6258, 1.5160, 8.7898]], "species": ["Ca", "O", "Be", "O", "O", "O", "O", "O", "O", "As", "O", "Ca", "O", "O", "Be", "O", "As", "Ca", "Ca", "O"], "fractional_positions": [[0.1319, 0.1319, 0.6042], [0.3864, 0.3864, 0.3689], [0.5000, 0.5000, 0.5000], [0.7938, 0.7938, 0.1208], [0.8583, 0.3864, 0.3689], [0.7084, 0.2062, 0.8792], [0.7938, 0.2916, 0.1208], [0.6136, 0.1417, 0.6311], [0.2062, 0.2062, 0.8792], [0.5891, 0.5891, 0.2328], [0.3864, 0.8583, 0.3689], [0.7139, 0.7139, 0.8582], [0.2916, 0.7938, 0.1208], [0.1417, 0.6136, 0.6311], [0.0000, 0.0000, 0.0000], [0.6136, 0.6136, 0.6311], [0.4109, 0.4109, 0.7672], [0.8681, 0.8681, 0.3958], [0.2861, 0.2861, 0.1418], [0.2062, 0.7084, 0.8792]], "raw_formation_energy_mev_per_atom": -2013, "final_energy_ev_per_atom": -6.23, "total_magnetization_mub_per_fu": 0.00, "mass_density_g_cm3": 4.11}

Please write out number 2 again, unchanged.
{"formula": "TmTcCl", "functional": "GGA-PBE", "state": "optimized geometry", "lattice_angstrom": [[4.4337, -0.0285, -0.6805], [2.2092, 2.2195, -0.5061], [-0.3078, -1.2941, 12.8618]], "species": ["Tm", "Cl", "Tc", "Cl", "Tc", "Tm"], "fractional_positions": [[0.6051, 0.8886, 0.1118], [0.6061, 0.2402, 0.4650], [0.6078, 0.4417, 0.6677], [0.1056, 0.7449, 0.9683], [0.1078, 0.5394, 0.7655], [0.1054, 0.0975, 0.3215]], "de_polymorph_mev_per_atom": 687, "raw_formation_energy_mev_per_atom": -360, "final_energy_ev_per_atom": -5.92, "total_magnetization_mub_per_fu": 0.00, "mass_density_g_cm3": 7.97}